DFT (meta-GGA SCAN) results for a crystal of MgTa2As relaxed with PBEsol. Values from VASP.

Properties
Fermi-level density of states, states/eV/f.u.: 3.0
Polymorph energy (0 for the lowest one), kJ/mol of formula units: 104.1

```
&SYSTEM
  ibrav = 0, nat = 4, ntyp = 3
/
ATOMIC_SPECIES
Ta 180.95 Ta.upf
Mg 24.30 Mg.upf
As 74.92 As.upf
CELL_PARAMETERS angstrom
3.109 0.000 0.000
0.000 4.768 0.165
0.000 -1.560 4.509
ATOMIC_POSITIONS angstrom
Ta 0.000 2.384 0.082
Ta 0.000 -0.780 2.254
Mg 1.554 1.604 2.337
As 1.554 0.000 0.000
```



DFT (meta-GGA SCAN) results for a crystal of MgTa2As relaxed with PBEsol. Values from VASP.

Properties
Fermi-level density of states, states/eV/f.u.: 2.5
Polymorph energy (0 for the lowest one), kJ/mol of formula units: 63.2

```
&SYSTEM
  ibrav = 0, nat = 4, ntyp = 3
/
ATOMIC_SPECIES
Ta 180.95 Ta.upf
As 74.92 As.upf
Mg 24.30 Mg.upf
CELL_PARAMETERS angstrom
3.957 0.000 0.000
0.000 3.957 0.000
0.000 0.000 4.316
ATOMIC_POSITIONS angstrom
Ta 0.000 1.978 0.000
Ta 1.978 0.000 0.000
As 1.978 1.978 2.158
Mg 0.000 0.000 2.158
```



DFT (meta-GGA SCAN) results for a crystal of MgTa2As relaxed with PBEsol. Values from VASP.

Properties
Fermi-level density of states, states/eV/f.u.: 3.0
Polymorph energy (0 for the lowest one), kJ/mol of formula units: 0.0

```
&SYSTEM
  ibrav = 0, nat = 4, ntyp = 3
/
ATOMIC_SPECIES
Ta 180.95 Ta.upf
As 74.92 As.upf
Mg 24.30 Mg.upf
CELL_PARAMETERS angstrom
3.452 0.000 0.000
0.000 3.452 0.000
0.000 0.000 5.835
ATOMIC_POSITIONS angstrom
Ta 0.000 0.000 0.089
Ta 1.726 1.726 1.429
As 0.000 0.000 2.893
Mg 1.726 1.726 4.340
```



DFT (meta-GGA SCAN) results for a crystal of MgTa2As relaxed with PBEsol. Values from VASP.

Properties
Fermi-level density of states, states/eV/f.u.: 2.1
Polymorph energy (0 for the lowest one), kJ/mol of formula units: 58.3

```
&SYSTEM
  ibrav = 0, nat = 4, ntyp = 3
/
ATOMIC_SPECIES
Ta 180.95 Ta.upf
As 74.92 As.upf
Mg 24.30 Mg.upf
CELL_PARAMETERS angstrom
-1.706 -1.524 1.823
0.652 -1.732 -2.265
7.034 -2.845 4.202
ATOMIC_POSITIONS angstrom
Ta 5.091 -2.059 3.041
Ta 1.943 -0.786 1.161
As 2.990 -3.051 1.880
Mg -0.527 -1.628 -0.221
```



DFT (meta-GGA SCAN) results for a crystal of Mg2TcAs relaxed with PBEsol. Values from VASP.

Properties
Fermi-level density of states, states/eV/f.u.: 1.2

```
&SYSTEM
  ibrav = 0, nat = 4, ntyp = 3
/
ATOMIC_SPECIES
As 74.92 As.upf
Tc 98.00 Tc.upf
Mg 24.30 Mg.upf
CELL_PARAMETERS angstrom
3.186 0.000 0.000
0.000 3.186 0.000
0.000 0.000 6.962
ATOMIC_POSITIONS angstrom
As 1.593 1.593 4.889
Tc 0.000 0.000 3.804
Mg 0.000 0.000 6.691
Mg 1.593 1.593 2.021
```



DFT (meta-GGA SCAN) results for a crystal of Mg2TcAs relaxed with PBEsol. Values from VASP.

Properties
Fermi-level density of states, states/eV/f.u.: 2.1

```
&SYSTEM
  ibrav = 0, nat = 4, ntyp = 3
/
ATOMIC_SPECIES
Mg 24.30 Mg.upf
Tc 98.00 Tc.upf
As 74.92 As.upf
CELL_PARAMETERS angstrom
-2.658 -0.948 0.931
0.661 -0.883 -2.759
3.774 -7.376 3.265
ATOMIC_POSITIONS angstrom
Mg 1.731 -6.250 1.447
Mg 0.061 -0.118 0.052
Tc 1.807 -3.532 1.564
As 0.066 -2.995 0.007
```



DFT (meta-GGA SCAN) results for a crystal of MgTc2As relaxed with PBEsol. Values from VASP.

Properties
Fermi-level density of states, states/eV/f.u.: 3.5
Polymorph energy (0 for the lowest one), kJ/mol of formula units: 30.3

```
&SYSTEM
  ibrav = 0, nat = 4, ntyp = 3
/
ATOMIC_SPECIES
As 74.92 As.upf
Tc 98.00 Tc.upf
Mg 24.30 Mg.upf
CELL_PARAMETERS angstrom
-0.647 -1.010 -2.542
-2.066 -3.809 2.467
-2.347 4.493 0.152
ATOMIC_POSITIONS angstrom
As -0.323 -0.505 -1.271
Tc -1.174 2.246 0.076
Tc -2.530 -0.163 0.039
Mg -1.033 -1.904 1.233
```



DFT (meta-GGA SCAN) results for a crystal of MgTc2As relaxed with PBEsol. Values from VASP.

Properties
Fermi-level density of states, states/eV/f.u.: 3.5
Polymorph energy (0 for the lowest one), kJ/mol of formula units: 0.0

```
&SYSTEM
  ibrav = 0, nat = 4, ntyp = 3
/
ATOMIC_SPECIES
Tc 98.00 Tc.upf
As 74.92 As.upf
Mg 24.30 Mg.upf
CELL_PARAMETERS angstrom
3.127 0.000 0.000
0.000 4.265 0.000
0.000 0.000 4.265
ATOMIC_POSITIONS angstrom
Tc 0.000 2.132 0.000
Tc 0.000 0.000 2.132
As 1.563 2.132 2.132
Mg 1.563 0.000 0.000
```



Number 1: volume 16.91 Å³ per atom, calculated formation energy 228 meV per atom, final energy -39.355 eV per atom. Number 2: volume 16.90 Å³ per atom, calculated formation energy 122 meV per atom, final energy -39.460 eV per atom. Number 3: volume 17.38 Å³ per atom, calculated formation energy -42 meV per atom, final energy -39.624 eV per atom. Number 4: volume 17.67 Å³ per atom, calculated formation energy 110 meV per atom, final energy -39.473 eV per atom. Number 5: volume 17.66 Å³ per atom, calculated formation energy -214 meV per atom, final energy -16.513 eV per atom. Number 6: volume 18.06 Å³ per atom, calculated formation energy 116 meV per atom, final energy -16.184 eV per atom. Number 7: volume 14.85 Å³ per atom, calculated formation energy 232 meV per atom, final energy -23.589 eV per atom. Number 8: volume 14.22 Å³ per atom, calculated formation energy 154 meV per atom, final energy -23.667 eV per atom.